# 1
An optimized crystal structure of Fe2OsBr. Source: the Alexandria database, functional PBE-GGA.

a b c (Å): 2.953 4.403 4.503
angles (deg): 90.00 90.00 90.00
Fractional positions:
1 Fe 0.000 0.000 0.000
2 Fe 0.500 0.000 0.500
3 Os 0.000 0.500 0.500
4 Br 0.500 0.500 0.000

Computed properties:
VASP energy ... -25.9 eV for the cell shown
M_tot ... 1.549 μB per atom
Excess energy over the best structure of this formula in the dataset ... 441.6 meV/atom
Energy relative to the elements, uncorrected ... 971 meV per atom

=====

# 2
An optimized crystal structure of FeOsBr2. Source: the Alexandria database, functional PBE-GGA.

a b c (Å): 7.421 7.421 7.421
angles (deg): 152.99 148.66 41.84
Fractional positions:
1 Fe 0.000 0.000 0.000
2 Os 0.500 0.500 0.000
3 Br 0.365 0.865 0.500
4 Br 0.635 0.135 0.500

Computed properties:
VASP energy ... -20.8 eV for the cell shown
M_tot ... 0.937 μB per atom
Excess energy over the best structure of this formula in the dataset ... 154.0 meV/atom
Energy relative to the elements, uncorrected ... 556 meV per atom

=====

# 3
An optimized crystal structure of Fe2OsBr. Source: the Alexandria database, functional PBE-GGA.

a b c (Å): 4.219 4.219 6.404
angles (deg): 106.40 106.40 41.12
Fractional positions:
1 Fe 0.000 0.000 0.000
2 Fe 0.248 0.248 0.819
3 Os 0.493 0.493 0.673
4 Br 0.869 0.869 0.312

Computed properties:
VASP energy ... -27.0 eV for the cell shown
M_tot ... 1.305 μB per atom
Excess energy over the best structure of this formula in the dataset ... 183.5 meV/atom
Energy relative to the elements, uncorrected ... 713 meV per atom

=====

# 4
An optimized crystal structure of Fe2OsBr. Source: the Alexandria database, functional PBE-GGA.

a b c (Å): 4.321 4.321 4.321
angles (deg): 60.00 60.00 60.00
Fractional positions:
1 Fe 0.000 0.000 0.000
2 Fe 0.250 0.250 0.250
3 Os 0.750 0.750 0.750
4 Br 0.500 0.500 0.500

Computed properties:
VASP energy ... -25.5 eV for the cell shown
M_tot ... 1.267 μB per atom
Excess energy over the best structure of this formula in the dataset ... 554.5 meV/atom
Energy relative to the elements, uncorrected ... 1084 meV per atom

=====

# 5
An optimized crystal structure of FeOsBr2. Source: the Alexandria database, functional PBE-GGA.

a b c (Å): 3.029 3.029 8.704
angles (deg): 90.00 90.00 90.00
Fractional positions:
1 Fe 0.000 0.000 0.000
2 Os 0.500 0.500 0.174
3 Br 0.000 0.000 0.380
4 Br 0.500 0.500 0.804

Computed properties:
VASP energy ... -20.5 eV for the cell shown
M_tot ... 0.455 μB per atom
Excess energy over the best structure of this formula in the dataset ... 221.2 meV/atom
Energy relative to the elements, uncorrected ... 623 meV per atom

=====

# 6
An optimized crystal structure of FeOsBr2. Source: the Alexandria database, functional PBE-GGA.

a b c (Å): 3.416 4.252 5.187
angles (deg): 90.00 92.68 90.00
Fractional positions:
1 Fe 0.000 0.000 0.000
2 Os 0.500 0.000 0.500
3 Br 0.263 0.500 0.254
4 Br 0.737 0.500 0.746

Computed properties:
VASP energy ... -18.5 eV for the cell shown
M_tot ... 0.977 μB per atom
Excess energy over the best structure of this formula in the dataset ... 743.9 meV/atom
Energy relative to the elements, uncorrected ... 1146 meV per atom